Record 1
20
Lattice="5.532 0.000 0.000 0.000 6.664 0.000 -2.766 0.000 9.280" Properties=species:S:1:pos:R:3 comment="V2GaSn2 GGA-PBEsol relaxed" ef_ev_per_atom=-0.182 dos_at_fermi_per_ev_cell=10.59 magmom_total_mub_per_fu=0.00 pbc="T T T"
V 1.383 1.666 6.340
Sn 0.000 0.518 4.120
Sn 2.766 0.516 2.059
V 2.766 6.480 7.903
Ga 1.383 4.998 0.327
V 4.149 4.998 2.941
V 2.766 3.148 1.377
Ga 4.149 4.998 0.327
Sn 2.766 2.814 4.120
Sn 0.000 3.850 5.160
V 0.000 0.184 1.377
Ga -1.383 1.666 8.954
Sn 2.766 3.848 7.221
Sn 0.000 2.816 2.059
V 0.000 3.516 7.903
V -1.383 1.666 6.340
Ga 1.383 1.666 8.954
Sn 2.766 6.146 5.160
V 1.383 4.998 2.941
Sn 0.000 6.148 7.221

***

Record 2
5
Lattice="-2.449 0.772 -4.526 -3.538 -3.587 1.302 -2.926 3.690 2.213" Properties=species:S:1:pos:R:3 comment="YGaSn3 GGA-PBEsol relaxed" ef_ev_per_atom=0.177 dos_at_fermi_per_ev_cell=3.49 magmom_total_mub_per_fu=0.00 pbc="T T T"
Sn -1.769 -1.793 0.651
Sn -1.224 0.386 -2.263
Ga 0.000 0.000 0.000
Y -4.457 0.438 -0.505
Sn -1.463 1.845 1.107

***

Record 3
10
Lattice="2.922 0.000 0.000 0.000 7.889 0.000 0.000 0.000 7.889" Properties=species:S:1:pos:R:3 comment="Zn2Ga2Sn GGA-PBEsol relaxed" ef_ev_per_atom=0.090 dos_at_fermi_per_ev_cell=4.11 magmom_total_mub_per_fu=0.00 pbc="T T T"
Ga 0.000 4.972 1.028
Ga 0.000 2.916 6.861
Zn 1.461 2.631 1.313
Sn 0.000 0.000 0.000
Zn 1.461 6.576 2.631
Ga 0.000 6.861 4.972
Sn 0.000 3.944 3.944
Zn 1.461 1.313 5.257
Ga 0.000 1.028 2.916
Zn 1.461 5.257 6.576

***

Record 4
5
Lattice="4.023 0.000 0.000 0.000 4.023 0.000 -2.012 -2.012 5.698" Properties=species:S:1:pos:R:3 comment="Zn2Ga2Sn GGA-PBEsol relaxed" ef_ev_per_atom=0.050 dos_at_fermi_per_ev_cell=1.67 magmom_total_mub_per_fu=0.00 pbc="T T T"
Zn 0.000 2.012 2.849
Zn 2.012 0.000 2.849
Sn 0.000 0.000 0.000
Ga 0.000 0.000 4.457
Ga 2.012 2.012 1.241

***

Record 5
5
Lattice="4.353 0.000 0.000 0.000 4.999 0.000 0.000 0.000 4.999" Properties=species:S:1:pos:R:3 comment="Zr2ZnGaSn GGA-PBEsol relaxed" ef_ev_per_atom=0.205 dos_at_fermi_per_ev_cell=2.95 magmom_total_mub_per_fu=0.00 pbc="T T T"
Sn 2.176 2.500 2.500
Zr 0.000 2.500 0.000
Zn 0.000 0.000 0.000
Ga 2.176 0.000 0.000
Zr 0.000 0.000 2.500

***

Record 6
5
Lattice="-0.460 -3.239 4.373 -0.662 -4.323 -3.272 5.402 -0.806 -0.029" Properties=species:S:1:pos:R:3 comment="ZrGaSn3 GGA-PBEsol relaxed" ef_ev_per_atom=0.385 dos_at_fermi_per_ev_cell=2.26 magmom_total_mub_per_fu=0.00 pbc="T T T"
Sn -0.230 -1.620 2.187
Sn 2.701 -0.403 -0.014
Sn -0.331 -2.161 -1.636
Ga 2.140 -4.184 0.536
Zr 0.000 0.000 0.000